A plane-wave DFT calculation with GGA+U was carried out for a relaxed NiGeWO6 crystal.

Cell lengths 5.0447, 5.0447, 9.0023 Å; angles 90.00, 90.00, 120.00 degrees
Closest atoms and distances in Å follow each position.
Space group P-31c (No. 163)
One atom of each set of equivalent atoms:
Ni: 0.0000 0.0000 0.0000  6 O 2.16
Ge: 0.3333 0.6667 0.2500  6 O 1.92
W: 0.3333 0.6667 0.7500  6 O 1.95
O: 0.0050 0.3571 0.1338  1 Ge 1.92, 1 W 1.95

Output
Total magnetic moment: 2.03 μB/f.u.
VASP energy: -6.49 eV per atom
Calculated volume: 198 Å³/cell